Compound: NaCd2Pt
Source: Alexandria
Functional: PBE-GGA
Structure: optimized geometry

extended XYZ file:
```
8
Lattice="4.304 -0.010 0.000 -2.164 5.177 0.000 0.000 0.000 7.986" Properties=species:S:1:pos:R:3 pbc="T T T"
Na 2.145 4.521 1.997
Na -0.005 0.645 5.990
Cd -0.006 3.723 4.425
Cd 2.146 1.444 3.561
Cd -0.006 3.723 7.555
Cd 2.146 1.444 0.432
Pt 2.142 2.809 5.990
Pt -0.002 2.358 1.997
```

**D(E_F)**: 1.9 states/eV per cell
**SG**: P2_1/m (11)
**ΔE_f**: -264 meV per atom
**Excess energy over the best structure of this formula in the dataset**: 0 meV/atom